PBE-GGA AcNb2Tl3O9, optimized geometry; N(E_F) = 5.8 states/eV per cell; raw formation energy = -28.56 eV/f.u.
1.0
-2.178 -4.693 -3.152
5.090 2.752 -1.794
4.386 -5.118 4.591
O Tl Ac Nb
9 3 1 2
Cartesian
2.706 -1.374 0.176
3.215 -4.767 1.807
2.185 -6.986 0.318
1.456 -0.970 -2.473
2.545 1.376 -0.897
5.112 -0.073 -0.672
4.083 -2.292 -2.162
-1.089 -2.347 -1.576
4.591 -5.685 -0.530
6.151 -3.795 1.401
1.146 -3.264 -1.755
0.000 0.000 0.000
2.193 -2.559 2.296
3.809 -6.371 1.032
3.489 -0.688 -1.386

=====

PBE-GGA AcNb3Tl4O12, optimized geometry; N(E_F) = 12.4 states/eV per cell; raw formation energy = -36.87 eV/f.u.
1.0
7.408 0.000 0.000
-2.469 6.984 0.000
-2.469 -3.492 6.048
O Ac Tl Nb
12 1 4 3
Cartesian
3.574 -2.527 4.377
3.574 5.055 0.000
3.704 0.000 3.024
1.235 4.365 1.512
1.235 -0.873 4.536
1.364 1.929 0.000
-3.574 2.527 4.377
-1.235 0.873 4.536
-1.235 3.492 3.024
3.704 2.619 1.512
-1.364 0.965 1.671
1.364 -0.965 1.671
0.000 0.000 0.000
1.235 1.746 3.024
-1.235 -1.746 3.024
3.704 0.000 0.000
-1.235 3.492 0.000
2.469 3.492 0.000
2.469 -1.746 3.024
-2.469 1.746 3.024

=====

PBE-GGA AcNb2Tl2O7, optimized geometry; N(E_F) = 2.3 states/eV per cell; raw formation energy = -27.83 eV/f.u.
1.0
-3.510 1.663 1.221
-0.189 -2.659 3.079
4.070 6.949 8.891
O Nb Ac Tl
7 2 1 2
Cartesian
1.378 6.598 8.424
-2.669 1.517 3.839
-1.007 -0.644 4.767
0.191 2.085 4.511
0.180 3.868 8.680
-1.850 -0.498 2.150
3.039 4.436 9.353
-0.754 0.887 3.411
1.124 5.067 9.780
0.000 0.000 0.000
1.773 4.058 6.272
-1.402 1.896 6.919

=====

PBE-GGA Ac2TmNbO6, optimized geometry; N(E_F) = 2.5 states/eV per cell; raw formation energy = -30.38 eV/f.u.
1.0
-5.519 0.723 1.539
-1.306 -5.628 -2.075
-2.938 -4.003 3.632
O Tm Nb Ac
6 1 1 2
Cartesian
-4.532 -5.407 2.974
-5.231 -3.501 0.122
-2.660 -4.364 -0.843
-6.699 -6.199 1.265
-3.064 -2.709 1.831
-7.103 -4.544 3.939
0.000 0.000 0.000
-3.412 -2.453 -0.268
-3.677 -6.102 0.699
-6.086 -2.806 2.397

=====

PBE-GGA Ac2TmNbO8, optimized geometry; N(E_F) = 0.0 states/eV per cell; raw formation energy = -32.96 eV/f.u.
1.0
-3.075 1.365 -2.448
-3.514 -3.834 2.224
-1.986 4.811 5.178
Ac O Tm Nb
2 8 1 1
Cartesian
-4.785 2.372 3.772
-3.790 -0.029 1.183
-2.015 0.186 -0.932
-1.244 0.140 1.613
-6.560 2.157 5.886
-3.369 2.194 1.881
-6.188 -0.561 0.365
-2.386 2.904 4.589
-5.205 0.149 3.073
-7.330 2.203 3.342
-0.993 2.406 2.589
0.000 0.000 0.000

=====

PBE-GGA Ac2UNbO8, optimized geometry; N(E_F) = 1.1 states/eV per cell; raw formation energy = -36.68 eV/f.u.
1.0
-3.433 0.998 -3.976
3.604 -2.016 -3.404
-2.815 -6.423 0.822
Nb O U Ac
1 8 1 2
Cartesian
0.000 0.000 0.000
-2.901 -1.023 -3.689
1.749 -3.015 -3.311
-1.281 -3.946 -4.932
-4.394 -4.426 -3.248
0.257 -6.418 -2.869
-2.770 -6.687 -1.128
-1.363 -3.495 -1.627
0.126 -0.754 -5.430
-1.408 -3.211 0.411
-0.596 -2.064 -3.485
-2.048 -5.377 -3.073

=====

The lowest raw formation energy belongs to which entry?
AcNb3Tl4O12

=====

What did the first record say?
PBE-GGA AcNb2Tl3O9, optimized geometry; N(E_F) = 5.8 states/eV per cell; raw formation energy = -28.56 eV/f.u.
1.0
-2.178 -4.693 -3.152
5.090 2.752 -1.794
4.386 -5.118 4.591
O Tl Ac Nb
9 3 1 2
Cartesian
2.706 -1.374 0.176
3.215 -4.767 1.807
2.185 -6.986 0.318
1.456 -0.970 -2.473
2.545 1.376 -0.897
5.112 -0.073 -0.672
4.083 -2.292 -2.162
-1.089 -2.347 -1.576
4.591 -5.685 -0.530
6.151 -3.795 1.401
1.146 -3.264 -1.755
0.000 0.000 0.000
2.193 -2.559 2.296
3.809 -6.371 1.032
3.489 -0.688 -1.386

=====

What is the raw formation energy in the fifth record?
-32.96 eV/f.u.